VASP calculation (PBE) on Ce3Ho2PaP6 after structural relaxation.

Formation energy: -1.509 eV/atom
Volume: 23.2 Å³/atom
D(E_F): 16.58 states/eV per cell
Space-group type: No. 12

The structure in POSCAR format:
```
Ce3Ho2PaP6
1.0
3.489 -6.042 0.000
3.489 6.042 0.000
-2.323 0.000 6.609
Ce Ho Pa P
3 2 1 6
Direct
0.000 0.000 0.000 Ce
0.332 0.668 0.000 Ce
0.668 0.332 0.000 Ce
0.166 0.834 0.500 Ho
0.834 0.166 0.500 Ho
0.500 0.500 0.500 Pa
0.090 0.420 0.259 P
0.252 0.252 0.741 P
0.420 0.090 0.259 P
0.580 0.910 0.741 P
0.748 0.748 0.259 P
0.910 0.580 0.741 P
```